Computed, not measured: a relaxed Dy3Zn2 crystal at the GGA-PBE level of DFT.

Cell: 4.958 7.852 10.544 Å, 90.14 90.00 108.41°
Positions (direct):
Dy 0.830 0.659 0.004
Dy 0.170 0.341 0.996
Dy 0.837 0.674 0.330
Dy 0.163 0.326 0.670
Dy 0.167 0.334 0.333
Dy 0.833 0.666 0.667
Dy 0.496 0.993 0.337
Dy 0.504 0.007 0.663
Dy 0.500 0.000 0.000
Zn 0.671 0.342 0.496
Zn 0.329 0.658 0.504
Zn 0.663 0.325 0.170
Zn 0.337 0.675 0.830
Zn 0.004 0.008 0.163
Zn 0.996 0.992 0.837

Summary:
N(E_F), states/eV per atom: 1.151
Space-group type: C2/m
Size of the total moment, μB/cell: 0.0
Formation energy from the elements, eV/f.u.: -0.680
Final energy, eV/f.u.: -17.0

---

Computed, not measured: a relaxed BiPbSe2Br crystal at the GGA-PBE level of DFT.

Cell: 4.235 7.967 11.899 Å, 66.60 90.00 90.00°
Positions (direct):
Bi 0.250 0.482 0.649
Bi 0.750 0.518 0.351
Pb 0.250 0.269 0.030
Pb 0.750 0.731 0.970
Se 0.750 0.712 0.516
Se 0.250 0.288 0.484
Se 0.750 0.357 0.162
Se 0.250 0.643 0.838
Br 0.250 0.801 0.179
Br 0.750 0.199 0.821

Summary:
Energy relative to the elements, uncorrected, kJ/mol of formula units: -264
Space-group type: P2_1/m
Size of the total moment, μB/cell: 0.0
Final energy, eV/f.u.: -19.0

---

Computed, not measured: a relaxed YReGe3 crystal at the GGA-PBE level of DFT.

Cell: 5.161 5.161 5.161 Å, 90.00 90.00 90.00°
Each line ends with the local moment (μB).
Positions (direct):
Y 0.000 0.000 0.000  -0.04
Re 0.500 0.500 0.500  0.28
Ge 0.000 0.500 0.000  0.00
Ge 0.000 0.000 0.500  0.00
Ge 0.500 0.000 0.000  -0.01

Summary:
N(E_F), states/eV per atom: 1.574
Space-group type: Pm-3m
Size of the total moment, μB/cell: 0.2
Formation energy from the elements, eV/f.u.: 9.877
Final energy, eV/f.u.: -22.9

---

Computed, not measured: a relaxed BeRe2Au crystal at the GGA-PBE level of DFT.

Cell: 2.814 3.754 5.586 Å, 90.00 90.00 90.00°
Positions (direct):
Re 0.000 0.000 0.008
Re 0.500 0.500 0.206
Au 0.000 0.000 0.530
Be 0.500 0.500 0.757

Summary:
N(E_F), states/eV per atom: 0.815
Space-group type: Pmm2
Size of the total moment, μB/cell: 0.0
Formation energy from the elements, eV/f.u.: 0.978
Final energy, eV/f.u.: -30.9

---

Computed, not measured: a relaxed AlSbTe2 crystal at the GGA-PBE level of DFT.

Cell: 4.121 4.121 8.441 Å, 90.00 90.00 121.91°
Positions (direct):
Sb 0.500 0.500 0.750
Te 0.000 0.000 0.026
Te 0.000 0.000 0.474
Al 0.500 0.500 0.250

Summary:
N(E_F), states/eV per atom: 0.748
Energy relative to the elements, uncorrected, kJ/mol of formula units: 66
Space-group type: Cmmm
Size of the total moment, μB/cell: 0.0
Final energy, eV/f.u.: -13.5

---

Computed, not measured: a relaxed Nd4TlTe2S crystal at the GGA-PBE level of DFT.

Cell: 4.347 7.619 7.754 Å, 108.77 90.00 90.00°
Positions (direct):
Nd 0.500 0.230 0.223
Nd 0.500 0.770 0.777
Nd 0.000 0.244 0.761
Nd 0.000 0.756 0.239
Tl 0.500 0.500 0.000
Te 0.500 0.000 0.500
Te 0.000 0.500 0.500
S 0.000 0.000 0.000

Summary:
N(E_F), states/eV per atom: 0.449
Energy relative to the elements, uncorrected, kJ/mol of formula units: -993
Space-group type: P2/m
Size of the total moment, μB/cell: 0.0
Final energy, eV/f.u.: -42.1

---

Computed, not measured: a relaxed SnTe2PN crystal at the GGA-PBE level of DFT.

Cell: 6.067 6.067 3.241 Å, 90.00 90.00 90.00°
Positions (direct):
P 0.000 0.000 0.000
Te 0.000 0.500 0.000
Te 0.500 0.000 0.000
Sn 0.500 0.500 0.500
N 0.000 0.000 0.500

Summary:
N(E_F), states/eV per atom: 0.129
Energy relative to the elements, uncorrected, kJ/mol of formula units: 182
Space-group type: P4/mmm
Size of the total moment, μB/cell: 0.0
Final energy, eV/f.u.: -22.1

---

Computed, not measured: a relaxed K2InSb crystal at the GGA-PBE level of DFT.

Cell: 6.646 6.646 3.310 Å, 90.00 90.00 113.14°
Positions (direct):
In 0.000 0.500 0.500
K 0.000 0.000 0.000
K 0.500 0.500 0.000
Sb 0.500 0.000 0.500

Summary:
N(E_F), states/eV per atom: 0.420
Energy relative to the elements, uncorrected, kJ/mol of formula units: -51
Space-group type: Cmmm
Size of the total moment, μB/cell: 0.0
Final energy, eV/f.u.: -9.6

---

Computed, not measured: a relaxed Cu3PdAu4 crystal at the GGA-PBE level of DFT.

Cell: 4.578 6.027 9.045 Å, 90.00 90.00 90.00°
Positions (direct):
Au 0.500 0.758 0.000
Au 0.500 0.758 0.500
Au 0.500 0.242 0.000
Au 0.500 0.242 0.500
Au 0.097 0.758 0.750
Au 0.903 0.758 0.250
Au 0.903 0.242 0.250
Au 0.097 0.242 0.750
Pd 0.000 0.500 0.000
Pd 0.000 0.500 0.500
Cu 0.000 0.000 0.000
Cu 0.000 0.000 0.500
Cu 0.603 0.000 0.750
Cu 0.397 0.000 0.250
Cu 0.604 0.500 0.750
Cu 0.396 0.500 0.250

Summary:
N(E_F), states/eV per atom: 0.366
Space-group type: Pmma
Size of the total moment, μB/cell: 0.0
Formation energy from the elements, eV/f.u.: -0.411
Final energy, eV/f.u.: -31.0

---

Computed, not measured: a relaxed AsPtI2 crystal at the GGA-PBE level of DFT.

Cell: 5.116 5.116 5.116 Å, 60.00 60.00 60.00°
Positions (direct):
I 0.250 0.250 0.250
I 0.750 0.750 0.750
As 0.000 0.000 0.000
Pt 0.500 0.500 0.500

Summary:
N(E_F), states/eV per atom: 0.879
Energy relative to the elements, uncorrected, kJ/mol of formula units: 304
Space-group type: Fm-3m
Size of the total moment, μB/cell: 0.0
Final energy, eV/f.u.: -10.6

---

Computed, not measured: a relaxed YMgB2 crystal at the GGA-PBE level of DFT.

Cell: 4.140 4.140 8.111 Å, 75.21 75.21 90.00°
Positions (direct):
Y 0.000 0.000 0.000
Y 0.750 0.250 0.500
Mg 0.500 0.500 0.000
Mg 0.250 0.750 0.500
B 0.375 0.125 0.250
B 0.375 0.625 0.250
B 0.375 0.625 0.750
B 0.875 0.625 0.750

Summary:
N(E_F), states/eV per atom: 0.358
Space-group type: I4_1/amd
Size of the total moment, μB/cell: 0.0
Formation energy from the elements, eV/f.u.: 2.594
Final energy, eV/f.u.: -18.8

---

Computed, not measured: a relaxed RbInIrF2 crystal at the GGA-PBE level of DFT.

Cell: 4.629 5.324 4.629 Å, 90.00 90.00 90.00°
Each line ends with the local moment (μB).
Positions (direct):
F 0.000 0.000 0.500  0.00
F 0.500 0.000 0.000  0.00
Ir 0.000 0.500 0.000  1.27
Rb 0.500 0.500 0.500  0.03
In 0.000 0.000 0.000  -0.02

Summary:
N(E_F), states/eV per atom: 0.604
Energy relative to the elements, uncorrected, kJ/mol of formula units: -346
Space-group type: P4/mmm
Size of the total moment, μB/cell: 1.4
Final energy, eV/f.u.: -19.9